1.
Compound: Pm2HoTm2Sc2
Source: Alexandria via LeMat-Bulk
Functional: GGA-PBE
Structure: optimized geometry

Summary:
Spin magnetization (Bohr magnetons per cell): 0.000
DFT formation energy (eV per formula unit): 0.755

Lattice parameters (Å, degrees): 3.4145 5.9257 11.5067 72.19 90.00 106.74
Fractional positions:
Sc  0.7712  0.5424  0.3693
Tm  0.5455  0.0909  0.2330
Sc  0.2288  0.4576  0.6307
Pm  0.3273  0.6545  0.0896
Ho  0.0000  0.0000  0.5000
Pm  0.6727  0.3455  0.9104
Tm  0.4545  0.9091  0.7670



2.
Compound: Pm3HoTm6Sc2
Source: Alexandria via LeMat-Bulk
Functional: GGA-PBE
Structure: optimized geometry

Summary:
Spin magnetization (Bohr magnetons per cell): 0.000
DFT formation energy (eV per formula unit): 0.488

Lattice parameters (Å, degrees): 6.0649 6.0649 11.5407 95.02 95.02 119.98
Fractional positions:
Pm  0.1669  0.8331  0.5000
Tm  0.9189  0.5834  0.7582
Sc  0.3332  0.6668  0.0000
Sc  0.6668  0.3332  0.0000
Tm  0.0811  0.4166  0.2418
Ho  0.0000  0.0000  0.0000
Tm  0.4166  0.0811  0.2418
Tm  0.5834  0.9189  0.7582
Pm  0.5000  0.5000  0.5000
Pm  0.8331  0.1669  0.5000
Tm  0.2547  0.2547  0.7582
Tm  0.7453  0.7453  0.2418



3.
Compound: PmHo4Tm2Sc
Source: Alexandria via LeMat-Bulk
Functional: GGA-PBE
Structure: optimized geometry

Summary:
Spin magnetization (Bohr magnetons per cell): 5.508
DFT formation energy (eV per formula unit): 3.597

Lattice parameters (Å, degrees): 9.3447 9.3447 11.5607 128.21 128.21 88.76
Each line ends with the local moment (μB).
Fractional positions:
Ho  0.7527  0.2589  0.0054  0.26
Ho  0.2438  0.2578  0.9986  0.26
Ho  0.2422  0.2562  0.5014  0.26
Ho  0.2473  0.7411  0.9946  0.26
Sc  0.0000  0.5000  0.5000  0.36
Tm  0.0000  0.0000  0.5000  0.23
Pm  0.5000  0.5000  0.5000  0.18
Tm  0.5000  0.0000  0.5000  0.27
Pm  0.0000  0.0000  0.0000  0.18
Ho  0.7578  0.7439  0.4986  0.26
Tm  0.5000  0.5000  0.0000  0.23
Sc  0.0000  0.5000  0.0000  0.36
Ho  0.7561  0.7422  0.0014  0.26
Ho  0.2411  0.7473  0.4946  0.26
Ho  0.7589  0.2527  0.5054  0.26
Tm  0.5000  0.0000  0.0000  0.27



4.
Compound: Pm2Ho5TmSc
Source: Alexandria via LeMat-Bulk
Functional: GGA-PBE
Structure: optimized geometry

Summary:
Spin magnetization (Bohr magnetons per cell): 0.000
DFT formation energy (eV per formula unit): 2.525

Lattice parameters (Å, degrees): 8.4135 8.4135 9.9020 115.14 115.14 90.00
Fractional positions:
Sc  0.7500  0.2500  0.5000
Tm  0.7500  0.7500  0.5000
Ho  0.0679  0.5679  0.7127
Ho  0.3552  0.8552  0.2873
Ho  0.1448  0.0679  0.7127
Pm  0.3799  0.8799  0.0000
Ho  0.9321  0.4321  0.2873
Ho  0.6448  0.1448  0.7127
Ho  0.5679  0.6448  0.7127
Pm  0.8799  0.6201  0.0000
Sc  0.2500  0.7500  0.5000
Ho  0.0000  0.0000  0.0000
Ho  0.5000  0.5000  0.0000
Ho  0.4321  0.3552  0.2873
Ho  0.8552  0.9321  0.2873
Tm  0.2500  0.2500  0.5000
Pm  0.1201  0.3799  0.0000
Pm  0.6201  0.1201  0.0000



5.
Compound: PmHoTm4Sc2
Source: Alexandria via LeMat-Bulk
Functional: GGA-PBE
Structure: optimized geometry

Summary:
Spin magnetization (Bohr magnetons per cell): 5.335
DFT formation energy (eV per formula unit): 3.572

Lattice parameters (Å, degrees): 9.2425 9.2425 11.4397 128.23 128.23 88.74
Each line ends with the local moment (μB).
Fractional positions:
Sc  0.0000  0.0000  0.5000  0.28
Tm  0.2663  0.7476  0.0070  0.25
Ho  0.0000  0.0000  0.0000  0.23
Tm  0.7337  0.2524  0.9930  0.25
Ho  0.5000  0.5000  0.5000  0.23
Sc  0.5000  0.0000  0.5000  0.26
Sc  0.5000  0.0000  0.0000  0.26
Pm  0.0000  0.5000  0.0000  0.26
Tm  0.2476  0.7663  0.5070  0.25
Sc  0.5000  0.5000  0.0000  0.28
Tm  0.2606  0.2393  0.9888  0.24
Pm  0.0000  0.5000  0.5000  0.26
Tm  0.7524  0.2337  0.4930  0.25
Tm  0.2607  0.2394  0.5112  0.24
Tm  0.7393  0.7606  0.4888  0.24
Tm  0.7394  0.7607  0.0112  0.24



6.
Compound: Pm6Ho3Tm2Sc
Source: Alexandria via LeMat-Bulk
Functional: GGA-PBE
Structure: optimized geometry

Summary:
Spin magnetization (Bohr magnetons per cell): 0.000
DFT formation energy (eV per formula unit): 0.297

Lattice parameters (Å, degrees): 6.1866 6.1866 11.6693 95.05 95.05 119.98
Fractional positions:
Pm  0.9179  0.5870  0.7532
Tm  0.3333  0.6667  0.0000
Pm  0.7511  0.7511  0.2469
Pm  0.2489  0.2489  0.7531
Pm  0.0821  0.4130  0.2468
Pm  0.5870  0.9179  0.7532
Ho  0.8333  0.1667  0.5000
Ho  0.5000  0.5000  0.5000
Sc  0.0000  0.0000  0.0000
Tm  0.6667  0.3333  0.0000
Ho  0.1667  0.8333  0.5000
Pm  0.4130  0.0821  0.2468



7.
Compound: PmHoTm3Sc
Source: Alexandria via LeMat-Bulk
Functional: GGA-PBE
Structure: optimized geometry

Summary:
Spin magnetization (Bohr magnetons per cell): 0.000
DFT formation energy (eV per formula unit): 0.238

Lattice parameters (Å, degrees): 4.9307 7.7815 9.8623 90.00 90.00 108.47
Fractional positions:
Tm  0.3318  0.6636  0.4999
Tm  0.6682  0.3364  0.9999
Sc  0.1685  0.3369  0.2501
Pm  0.4980  0.9959  0.7499
Tm  0.1699  0.3398  0.7499
Ho  0.0000  0.0000  0.5000
Sc  0.8315  0.6631  0.7499
Tm  0.3318  0.6636  0.0001
Tm  0.8301  0.6602  0.2501
Pm  0.5020  0.0041  0.2501
Ho  0.0000  0.0000  0.0000
Tm  0.6682  0.3364  0.5001



8.
Compound: Pm2HoTmSc
Source: Alexandria via LeMat-Bulk
Functional: GGA-PBE
Structure: optimized geometry

Summary:
Spin magnetization (Bohr magnetons per cell): 0.003
DFT formation energy (eV per formula unit): 1.900

Lattice parameters (Å, degrees): 7.1462 8.1706 6.9651 125.91 90.00 90.00
Fractional positions:
Pm  0.5000  0.3012  0.0000
Tm  0.7500  0.7344  0.4688
Sc  0.2500  0.9968  0.9937
Pm  0.0000  0.3012  0.0000
Pm  0.5000  0.6988  0.0000
Ho  0.7500  0.2691  0.5382
Sc  0.7500  0.0032  0.0063
Tm  0.2500  0.2656  0.5312
Pm  0.0000  0.6988  0.0000
Ho  0.2500  0.7309  0.4618



9.
Compound: Pm3Ho2Tm6Sc
Source: Alexandria via LeMat-Bulk
Functional: GGA-PBE
Structure: optimized geometry

Summary:
Spin magnetization (Bohr magnetons per cell): 0.000
DFT formation energy (eV per formula unit): 0.385

Lattice parameters (Å, degrees): 6.0970 6.0970 11.6182 95.02 95.02 119.97
Fractional positions:
Tm  0.2502  0.2502  0.7553
Pm  0.5000  0.5000  0.5000
Tm  0.5882  0.9192  0.7556
Tm  0.9192  0.5882  0.7556
Pm  0.8334  0.1666  0.5000
Ho  0.3336  0.6664  0.0000
Tm  0.0808  0.4118  0.2444
Pm  0.1666  0.8334  0.5000
Tm  0.7498  0.7498  0.2447
Ho  0.6664  0.3336  0.0000
Tm  0.4118  0.0808  0.2444
Sc  0.0000  0.0000  0.0000



10.
Compound: Pm2HoTm6Sc3
Source: Alexandria via LeMat-Bulk
Functional: GGA-PBE
Structure: optimized geometry

Summary:
Spin magnetization (Bohr magnetons per cell): 0.001
DFT formation energy (eV per formula unit): 0.542

Lattice parameters (Å, degrees): 6.0154 6.0154 11.4181 95.03 95.03 119.98
Fractional positions:
Tm  0.0869  0.4199  0.2605
Tm  0.4199  0.0869  0.2605
Ho  0.0000  0.0000  0.0000
Sc  0.8337  0.1663  0.5000
Tm  0.7540  0.7540  0.2604
Tm  0.2460  0.2460  0.7396
Tm  0.5801  0.9131  0.7395
Sc  0.1663  0.8337  0.5000
Pm  0.3333  0.6667  0.0000
Sc  0.5000  0.5000  0.5000
Pm  0.6667  0.3333  0.0000
Tm  0.9131  0.5801  0.7395



11.
Compound: PmHo2Tm5Sc
Source: Alexandria via LeMat-Bulk
Functional: GGA-PBE
Structure: optimized geometry

Summary:
Spin magnetization (Bohr magnetons per cell): 0.001
DFT formation energy (eV per formula unit): 1.567

Lattice parameters (Å, degrees): 5.5030 10.1416 10.2924 90.00 90.00 105.74
Fractional positions:
Tm  0.7229  0.4458  0.8212
Tm  0.2985  0.5969  0.7062
Tm  0.9814  0.9629  0.5209
Pm  0.4134  0.8268  0.4533
Pm  0.5866  0.1732  0.9533
Ho  0.8864  0.7728  0.2347
Tm  0.7015  0.4031  0.2062
Tm  0.5196  0.0392  0.2380
Tm  0.6218  0.2436  0.5206
Ho  0.1136  0.2272  0.7347
Tm  0.0186  0.0371  0.0209
Sc  0.1969  0.3938  0.0141
Ho  0.1112  0.2225  0.3149
Sc  0.8031  0.6062  0.5141
Tm  0.4804  0.9608  0.7380
Ho  0.8888  0.7775  0.8149
Tm  0.2771  0.5542  0.3212
Tm  0.3782  0.7564  0.0206



12.
Compound: Pm5HoTm2Sc
Source: Alexandria via LeMat-Bulk
Functional: GGA-PBE
Structure: optimized geometry

Summary:
Spin magnetization (Bohr magnetons per cell): 0.000
DFT formation energy (eV per formula unit): 1.167

Lattice parameters (Å, degrees): 5.3252 11.1819 10.1894 90.00 90.00 103.78
Fractional positions:
Pm  0.5000  0.9999  0.2581
Tm  0.8844  0.7687  0.2608
Tm  0.1155  0.2310  0.2556
Pm  0.3737  0.7473  0.0082
Pm  0.6263  0.2527  0.5082
Pm  0.7206  0.4413  0.1963
Sc  0.7858  0.5716  0.5083
Pm  0.9988  0.9976  0.0082
Pm  0.0012  0.0024  0.5081
Sc  0.2142  0.4284  0.0083
Pm  0.2793  0.5587  0.6963
Pm  0.2792  0.5584  0.3204
Tm  0.8845  0.7690  0.7555
Tm  0.1156  0.2312  0.7608
Ho  0.3992  0.7983  0.5081
Pm  0.7208  0.4416  0.8204
Ho  0.6008  0.2017  0.0082
Pm  0.5000  0.0001  0.7581



13.
Compound: Pm2Ho4TmSc
Source: Alexandria via LeMat-Bulk
Functional: GGA-PBE
Structure: optimized geometry

Summary:
Spin magnetization (Bohr magnetons per cell): 0.000
DFT formation energy (eV per formula unit): 0.271

Lattice parameters (Å, degrees): 4.9939 4.9850 11.0904 63.30 90.00 90.00
Fractional positions:
Ho  0.5000  0.7525  0.2462
Ho  0.0000  0.2522  0.2465
Pm  0.0000  0.0000  0.0000
Ho  0.0000  0.7478  0.7535
Ho  0.5000  0.2475  0.7538
Pm  0.5000  0.0000  0.5000
Tm  0.0000  0.5000  0.5000
Sc  0.5000  0.5000  0.0000



14.
Compound: PmHo6Tm2Sc3
Source: Alexandria via LeMat-Bulk
Functional: GGA-PBE
Structure: optimized geometry

Summary:
Spin magnetization (Bohr magnetons per cell): 0.000
DFT formation energy (eV per formula unit): 0.531

Lattice parameters (Å, degrees): 6.0141 6.0141 11.4274 95.02 95.02 119.96
Fractional positions:
Tm  0.3334  0.6666  0.0000
Ho  0.9132  0.5795  0.7410
Sc  0.5000  0.5000  0.5000
Tm  0.6666  0.3334  0.0000
Ho  0.2472  0.2472  0.7409
Pm  0.0000  0.0000  0.0000
Sc  0.8330  0.1670  0.5000
Ho  0.0868  0.4205  0.2590
Sc  0.1670  0.8330  0.5000
Ho  0.7528  0.7528  0.2591
Ho  0.4205  0.0868  0.2590
Ho  0.5795  0.9132  0.7410



15.
Compound: Pm4Ho2TmSc
Source: Alexandria via LeMat-Bulk
Functional: GGA-PBE
Structure: optimized geometry

Summary:
Spin magnetization (Bohr magnetons per cell): 0.000
DFT formation energy (eV per formula unit): 0.226

Lattice parameters (Å, degrees): 5.0655 5.0634 11.0765 62.79 90.00 90.00
Fractional positions:
Pm  0.5000  0.2542  0.7459
Ho  0.0000  0.0000  0.0000
Tm  0.5000  0.5000  0.0000
Pm  0.0000  0.2453  0.2543
Pm  0.0000  0.7547  0.7457
Sc  0.0000  0.5000  0.5000
Ho  0.5000  0.0000  0.5000
Pm  0.5000  0.7458  0.2541



16.
Compound: Pm2Ho6Tm3Sc
Source: Alexandria via LeMat-Bulk
Functional: GGA-PBE
Structure: optimized geometry

Summary:
Spin magnetization (Bohr magnetons per cell): 0.000
DFT formation energy (eV per formula unit): 0.339

Lattice parameters (Å, degrees): 6.0797 6.0797 11.6611 94.97 94.97 119.97
Fractional positions:
Tm  0.1662  0.8338  0.5000
Ho  0.4141  0.0836  0.2514
Ho  0.2469  0.2469  0.7483
Pm  0.6665  0.3335  0.0000
Sc  0.0000  0.0000  0.0000
Ho  0.9164  0.5859  0.7486
Tm  0.8338  0.1662  0.5000
Ho  0.0836  0.4141  0.2514
Tm  0.5000  0.5000  0.5000
Ho  0.5859  0.9164  0.7486
Pm  0.3335  0.6665  0.0000
Ho  0.7531  0.7531  0.2517



17.
Compound: PmHoTmSc
Source: Alexandria via LeMat-Bulk
Functional: GGA-PBE
Structure: optimized geometry

Summary:
Spin magnetization (Bohr magnetons per cell): 0.000
DFT formation energy (eV per formula unit): 0.429

Lattice parameters (Å, degrees): 3.8060 5.5693 6.6178 114.88 73.24 90.00
Fractional positions:
Tm  0.1908  0.8725  0.7451
Ho  0.4257  0.1353  0.2706
Pm  0.6521  0.4117  0.8234
Sc  0.9173  0.6451  0.2902



18.
Compound: Pm2YHoSc4
Source: Alexandria via LeMat-Bulk
Functional: GGA-PBE
Structure: optimized geometry

Summary:
Spin magnetization (Bohr magnetons per cell): 0.000
DFT formation energy (eV per formula unit): 0.526

Lattice parameters (Å, degrees): 3.4480 5.9647 11.2043 79.84 90.00 90.00
Fractional positions:
Sc  0.5000  0.7494  0.2505
Sc  0.5000  0.2506  0.7495
Ho  0.0000  0.5000  0.5000
Sc  0.0000  0.7502  0.7489
Pm  0.0000  0.0000  0.0000
Y  0.5000  0.5000  0.0000
Pm  0.5000  0.0000  0.5000
Sc  0.0000  0.2498  0.2511



19.
Compound: Pm6Y2HoSc
Source: Alexandria via LeMat-Bulk
Functional: GGA-PBE
Structure: optimized geometry

Summary:
Spin magnetization (Bohr magnetons per cell): 0.000
DFT formation energy (eV per formula unit): 1.299

Lattice parameters (Å, degrees): 9.2929 8.9492 8.9492 117.31 92.76 92.76
Fractional positions:
Pm  0.3035  0.0096  0.4425
Pm  0.1098  0.7122  0.4809
Ho  0.2500  0.9704  0.0296
Pm  0.5535  0.7720  0.1224
Y  0.5498  0.2071  0.3047
Ho  0.7500  0.0296  0.9704
Y  0.9502  0.6953  0.7929
Pm  0.1965  0.5575  0.9904
Pm  0.6098  0.4809  0.7122
Pm  0.8035  0.4425  0.0096
Y  0.4502  0.7929  0.6953
Pm  0.8902  0.2878  0.5191
Pm  0.6965  0.9904  0.5575
Pm  0.0535  0.1224  0.7720
Pm  0.9465  0.8776  0.2280
Pm  0.3902  0.5191  0.2878
Sc  0.2500  0.4217  0.5783
Pm  0.4465  0.2280  0.8776
Y  0.0498  0.3047  0.2071
Sc  0.7500  0.5783  0.4217



20.
Compound: PmY6Ho3Sc2
Source: Alexandria via LeMat-Bulk
Functional: GGA-PBE
Structure: optimized geometry

Summary:
Spin magnetization (Bohr magnetons per cell): 0.000
DFT formation energy (eV per formula unit): 0.513

Lattice parameters (Å, degrees): 6.0873 6.0873 11.6584 94.98 94.98 119.95
Fractional positions:
Ho  0.8328  0.1672  0.5000
Y  0.2535  0.2535  0.7534
Sc  0.3333  0.6667  0.0000
Ho  0.5000  0.5000  0.5000
Y  0.7465  0.7465  0.2466
Y  0.5815  0.9173  0.7533
Y  0.4185  0.0827  0.2467
Sc  0.6667  0.3333  0.0000
Pm  0.0000  0.0000  0.0000
Y  0.9173  0.5815  0.7533
Y  0.0827  0.4185  0.2467
Ho  0.1672  0.8328  0.5000